The following is a PBE calculation of a relaxed SiPdRh3 crystal, from Alexandria via LeMat-Bulk. Values from VASP.

Output
- Mass density: 8.74 g/cm³
- Formation energy (no corrections): 0.376 eV/atom
- Polymorph energy (0 for the lowest one): 0 meV per atom
- DOS(E_F): 9.029 states/eV/f.u.

```
&SYSTEM
  ibrav = 0, nat = 5, ntyp = 3
/
ATOMIC_SPECIES
Rh 102.91 Rh.upf
Si 28.09 Si.upf
Pd 106.42 Pd.upf
ATOMIC_POSITIONS angstrom
Rh -0.104 -2.189 0.045
Rh -0.939 0.003 -1.981
Rh 1.978 -0.113 -0.938
Si 0.000 0.000 0.000
Pd 0.935 -2.299 -2.873
CELL_PARAMETERS angstrom
-1.878 0.007 -3.961
3.956 -0.227 -1.876
-0.208 -4.378 0.091
```